1.
Material: K2MnCr
Method: DFT, PBE-GGA
State: relaxed

Total moment in μB per cell: 0.1
Formation energy from the elements in eV per atom: 0.670
N(E_F) in states/eV/atom: 0.647

```
data_K2MnCr
_chemical_formula_sum 'K2 Mn1 Cr1'
_symmetry_space_group_name_H-M 'P 1'
_symmetry_Int_Tables_number 1
_symmetry_space_group_name_Hall 'P 1'
_cell_length_a 3.525
_cell_length_b 3.527
_cell_length_c 10.438
_cell_angle_alpha 90.00
_cell_angle_beta 90.00
_cell_angle_gamma 90.00
loop_
_atom_site_label
_atom_site_type_symbol
_atom_site_fract_x
_atom_site_fract_y
_atom_site_fract_z
K1 K 0.500 0.500 0.324
Mn1 Mn 0.000 0.000 0.598
K2 K 0.000 0.000 0.926
Cr1 Cr 0.500 0.500 0.651
```

***

2.
Material: KMn2Cr
Method: DFT, PBE-GGA
State: relaxed

Total moment in μB per cell: 3.6
Formation energy from the elements in eV per atom: 1.674
N(E_F) in states/eV/atom: 1.683

```
data_KMn2Cr
_chemical_formula_sum 'K2 Mn4 Cr2'
_symmetry_space_group_name_H-M 'P 1'
_symmetry_Int_Tables_number 1
_symmetry_space_group_name_Hall 'P 1'
_cell_length_a 4.716
_cell_length_b 4.716
_cell_length_c 8.375
_cell_angle_alpha 73.65
_cell_angle_beta 73.65
_cell_angle_gamma 90.00
loop_
_atom_site_label
_atom_site_type_symbol
_atom_site_fract_x
_atom_site_fract_y
_atom_site_fract_z
Mn1 Mn 0.875 0.125 0.250
Mn2 Mn 0.375 0.125 0.750
K1 K 0.250 0.750 0.500
Mn3 Mn 0.875 0.625 0.250
Mn4 Mn 0.875 0.125 0.750
Cr1 Cr 0.000 0.000 0.000
Cr2 Cr 0.750 0.250 0.500
K2 K 0.500 0.500 0.000
```